# 1
The following is a PBE calculation of a relaxed structure of LiZnP, from the Open Quantum Materials Database.

Cell: 6.640 6.640 3.523 Å, 90.00 90.00 120.00°
Positions (direct):
Li 0.614 0.000 0.000
Li 0.386 0.386 0.000
Li 0.000 0.614 0.000
P 0.292 0.000 0.500
P 0.000 0.292 0.500
P 0.708 0.708 0.500
Zn 0.000 0.000 0.000
Zn 0.667 0.333 0.500
Zn 0.333 0.667 0.500

Calculated total energy in eV/atom: -3.1257

***

# 2
The following is a PBE calculation of a relaxed structure of GdGeAu, from the Open Quantum Materials Database.

Cell: 7.845 7.845 3.779 Å, 90.00 90.00 120.00°
Positions (direct):
Au 0.625 0.000 0.000
Au 0.375 0.375 0.000
Au 0.000 0.625 0.000
Gd 0.281 0.000 0.500
Gd 0.000 0.281 0.500
Gd 0.719 0.719 0.500
Ge 0.000 0.000 0.000
Ge 0.667 0.333 0.500
Ge 0.333 0.667 0.500

Magnetic moment in μB/f.u.: 0.00
Calculated total energy in eV/atom: -4.6893

***

# 3
The following is a PBE calculation of a relaxed structure of FePbW4N2, from the Open Quantum Materials Database.

Cell: 2.919 2.919 15.260 Å, 90.00 90.00 120.00°
Each line ends with the local moment (μB).
Positions (direct):
Fe 0.333 0.667 0.000  1.97
N 0.000 0.000 0.228  0.01
N 0.000 0.000 0.772  0.01
Pb 0.667 0.333 0.500  0.01
W 0.667 0.333 0.136  -0.05
W 0.333 0.667 0.316  0.01
W 0.333 0.667 0.684  0.01
W 0.667 0.333 0.864  -0.05

Magnetic moment in μB/f.u.: 1.97
Calculated total energy in eV/atom: -9.5725